Computed, not measured: a relaxed structure of Er2SiAg at the PBE level of DFT.

## Properties
* magnetic moment: 0.000 μB/atom
* energy relative to the elements, uncorrected: -0.44 eV/atom
* volume: 22.19 A^3/atom
* SG: P4/mmm (123)

Unit cell a=4.9363 b=4.9363 c=3.6421 alpha=90.00 beta=90.00 gamma=90.00
Last column: nearest neighbours and their distance in Å.
Element x y z (fractional)
Er 0.0000 0.5000 0.0000  4 Si 3.07, 4 Ag 3.07
Er 0.5000 0.0000 0.0000  4 Si 3.07, 4 Ag 3.07
Si 0.0000 0.0000 0.5000  8 Er 3.07
Ag 0.5000 0.5000 0.5000  8 Er 3.07

Computed, not measured: a relaxed structure of ErSiAg at the PBE level of DFT.

## Properties
* magnetic moment: 0.000 μB/atom
* energy relative to the elements, uncorrected: -0.59 eV/atom
* volume: 19.72 A^3/atom
* SG: P-62m (189)

Unit cell a=7.0102 b=7.0102 c=4.1700 alpha=90.00 beta=90.00 gamma=120.00
Last column: nearest neighbours and their distance in Å.
Element x y z (fractional)
Er 0.0000 0.4184 0.0000  5 Si 2.93-2.96, 2 Ag 3.12
Er 0.4184 0.0000 0.0000  5 Si 2.93-2.96, 2 Ag 3.12
Er 0.5816 0.5816 0.0000  5 Si 2.93-2.96, 2 Ag 3.12
Si 0.0000 0.0000 0.0000  6 Ag 2.73, 3 Er 2.93
Si 0.3333 0.6667 0.5000  3 Ag 2.67, 6 Er 2.96
Si 0.6667 0.3333 0.5000  3 Ag 2.67, 6 Er 2.96
Ag 0.0000 0.7492 0.5000  4 Si 2.67-2.73
Ag 0.2508 0.2508 0.5000  4 Si 2.67-2.73
Ag 0.7492 0.0000 0.5000  4 Si 2.67-2.73

Computed, not measured: a relaxed structure of ErSiAg at the PBE level of DFT.

## Properties
* magnetic moment: 0.000 μB/atom
* energy relative to the elements, uncorrected: -0.55 eV/atom
* volume: 20.05 A^3/atom
* SG: Cmcm (63)

Unit cell a=4.0794 b=15.8686 c=3.7161 alpha=90.00 beta=90.00 gamma=90.00
Last column: nearest neighbours and their distance in Å.
Element x y z (fractional)
Er 0.0000 0.0985 0.2500  6 Si 2.88-3.07, 1 Ag 3.02
Er 0.0000 0.9015 0.7500  6 Si 2.88-3.07, 1 Ag 3.02
Er 0.5000 0.4015 0.7500  6 Si 2.88-3.07, 1 Ag 3.02
Er 0.5000 0.5985 0.2500  6 Si 2.88-3.07, 1 Ag 3.02
Si 0.0000 0.4541 0.2500  2 Si 2.36, 1 Ag 2.63
Si 0.0000 0.5459 0.7500  2 Si 2.36, 1 Ag 2.63
Si 0.5000 0.0459 0.7500  2 Si 2.36, 1 Ag 2.63
Si 0.5000 0.9541 0.2500  2 Si 2.36, 1 Ag 2.63
Ag 0.0000 0.2886 0.2500  1 Si 2.63
Ag 0.0000 0.7114 0.7500  1 Si 2.63
Ag 0.5000 0.2114 0.7500  1 Si 2.63
Ag 0.5000 0.7886 0.2500  1 Si 2.63

Computed, not measured: a relaxed structure of ErSiAg at the PBE level of DFT.

## Properties
* magnetic moment: 0.000 μB/atom
* energy relative to the elements, uncorrected: -0.39 eV/atom
* volume: 22.41 A^3/atom
* SG: F-43m (216)

Unit cell a=6.4550 b=6.4550 c=6.4550 alpha=90.00 beta=90.00 gamma=90.00
Last column: nearest neighbours and their distance in Å.
Element x y z (fractional)
Er 0.0000 0.0000 0.0000  4 Si 2.80
Er 0.0000 0.5000 0.5000  4 Si 2.80
Er 0.5000 0.0000 0.5000  4 Si 2.80
Er 0.5000 0.5000 0.0000  4 Si 2.80
Si 0.2500 0.2500 0.2500  4 Er 2.80, 4 Ag 2.80
Si 0.2500 0.7500 0.7500  4 Er 2.80, 4 Ag 2.80
Si 0.7500 0.2500 0.7500  4 Er 2.80, 4 Ag 2.80
Si 0.7500 0.7500 0.2500  4 Er 2.80, 4 Ag 2.80
Ag 0.0000 0.0000 0.5000  4 Si 2.80
Ag 0.0000 0.5000 0.0000  4 Si 2.80
Ag 0.5000 0.0000 0.0000  4 Si 2.80
Ag 0.5000 0.5000 0.5000  4 Si 2.80